Ce10Pb4N3: relaxed, PBE.

a = 4.907 Å, b = 4.907 Å, c = 36.106 Å
α = 90.00°, β = 90.00°, γ = 90.00°
Space group I4/mmm (No. 139)
Unique sites:
Ce (0.000, 0.000, 0.068)
Ce (0.000, 0.000, 0.207)
Ce (0.000, 0.500, 0.000)
Ce (0.000, 0.500, 0.135)
Pb (0.000, 0.000, 0.300)
Pb (0.000, 0.000, 0.433)
N (0.000, 0.000, 0.000)
N (0.000, 0.000, 0.140)

**Size of the total moment**: 15.2 μB per cell
**Formation energy without anion corrections**: -13.668 eV/f.u.

Ce7Pb3N2: relaxed, PBE.

a = 4.896 Å, b = 4.896 Å, c = 26.275 Å
α = 90.00°, β = 90.00°, γ = 90.00°
Space group I4/mmm (No. 139)
Unique sites:
Ce (0.000, 0.000, 0.000)
Ce (0.000, 0.000, 0.191)
Ce (0.000, 0.500, 0.091)
Pb (0.000, 0.000, 0.318)
Pb (0.000, 0.000, 0.500)
N (0.000, 0.000, 0.098)

**Size of the total moment**: 11.1 μB per cell
**Formation energy without anion corrections**: -9.296 eV/f.u.

Ce2PbN: relaxed, PBE.

a = 10.281 Å, b = 10.281 Å, c = 10.281 Å
α = 90.00°, β = 90.00°, γ = 90.00°
Space group Fd-3m (No. 227, origin choice 2)
Unique sites:
Ce (0.000, 0.000, 0.000)
Pb (0.125, 0.125, 0.625)
N (0.125, 0.125, 0.125)

**Size of the total moment**: 19.3 μB per cell
**Formation energy without anion corrections**: -1.145 eV/f.u.

Ce2PbN: relaxed, PBE.

a = 3.206 Å, b = 3.206 Å, c = 8.110 Å
α = 90.00°, β = 90.00°, γ = 90.00°
Space group P4/mmm (No. 123)
Unique sites:
Ce (0.000, 0.000, 0.177)
Pb (0.500, 0.500, 0.500)
N (0.500, 0.500, 0.000)

**Size of the total moment**: 1.6 μB per cell
**Formation energy without anion corrections**: -2.282 eV/f.u.

Ce2PrPbN: relaxed, PBE.

a = 4.900 Å, b = 4.900 Å, c = 5.168 Å
α = 90.00°, β = 90.00°, γ = 90.00°
Space group P4/mmm (No. 123)
Unique sites:
Ce (0.000, 0.500, 0.000)
Pr (0.000, 0.000, 0.500)
Pb (0.500, 0.500, 0.500)
N (0.000, 0.000, 0.000)

**Size of the total moment**: 1.8 μB per cell
**Formation energy without anion corrections**: -4.275 eV/f.u.

Ce6PuPb2N: relaxed, PBE.

a = 9.951 Å, b = 9.951 Å, c = 9.951 Å
α = 90.00°, β = 90.00°, γ = 90.00°
Space group Fm-3m (No. 225)
Unique sites:
Ce (0.000, 0.000, 0.247)
Pu (0.000, 0.000, 0.000)
Pb (0.250, 0.250, 0.250)
N (0.000, 0.000, 0.500)

**Size of the total moment**: 0.0 μB per cell
**Formation energy without anion corrections**: -7.566 eV/f.u.